1.
# LaAgGe2Br, optimized geometry, DFT PBE
data_LaAgGe2Br
_cell_length_a 5.8286
_cell_length_b 5.8286
_cell_length_c 5.7048
_cell_angle_alpha 90.00
_cell_angle_beta 90.00
_cell_angle_gamma 90.00
_symmetry_space_group_name_H-M 'P 4/m m m'
_symmetry_Int_Tables_number 123
_symmetry_space_group_name_Hall '-P 4 2'
loop_
_atom_site_label
_atom_site_type_symbol
_atom_site_fract_x
_atom_site_fract_y
_atom_site_fract_z
La1 La 0.0000 0.0000 0.0000
Ag1 Ag 0.5000 0.5000 0.5000
Ge1 Ge 0.0000 0.5000 0.0000
Br1 Br 0.0000 0.0000 0.5000
# * formation energy without anion corrections: 0.4645 eV per atom



2.
# Nd2Y15Tm2, optimized geometry, DFT PBE
data_Nd2Y15Tm2
_cell_length_a 11.2068
_cell_length_b 11.2068
_cell_length_c 17.7982
_cell_angle_alpha 90.00
_cell_angle_beta 90.00
_cell_angle_gamma 120.00
_symmetry_space_group_name_H-M 'R -3 m'
_symmetry_Int_Tables_number 166
_symmetry_space_group_name_Hall '-R 3 2"'
loop_
_atom_site_label
_atom_site_type_symbol
_atom_site_fract_x
_atom_site_fract_y
_atom_site_fract_z
Nd1 Nd 0.0000 0.0000 0.1128
Y1 Y 0.0000 0.3028 0.0000
Y2 Y 0.0000 0.5000 0.5000
Y3 Y 0.0168 0.5084 0.1362
Tm1 Tm 0.0000 0.0000 0.3229
# * ΔH_f (0 K): 5.9 eV/f.u.



3.
# Dy3Th2C4, optimized geometry, DFT PBE
data_Dy3Th2C4
_cell_length_a 12.1362
_cell_length_b 3.6346
_cell_length_c 9.0464
_cell_angle_alpha 90.00
_cell_angle_beta 118.32
_cell_angle_gamma 90.00
_symmetry_space_group_name_H-M 'C 1 2/m 1'
_symmetry_Int_Tables_number 12
loop_
_symmetry_equiv_pos_as_xyz
'x,y,z'
'-x,-y,-z'
'-x,y,-z'
'x,-y,z'
'x+1/2,y+1/2,z'
'-x+1/2,-y+1/2,-z'
'-x+1/2,y+1/2,-z'
'x+1/2,-y+1/2,z'
loop_
_atom_site_label
_atom_site_type_symbol
_atom_site_fract_x
_atom_site_fract_y
_atom_site_fract_z
Dy1 Dy 0.0000 0.0000 0.0000
Dy2 Dy 0.2096 0.0000 0.8219
Th1 Th 0.1000 0.5000 0.3814
C1 C 0.0999 0.5000 0.8965
C2 C 0.1982 0.0000 0.3117
# * ΔH_f (0 K): -2.3 eV/f.u.



4.
# TcPd2W, optimized geometry, DFT PBE
data_TcPd2W
_cell_length_a 6.2857
_cell_length_b 6.2857
_cell_length_c 6.2857
_cell_angle_alpha 90.00
_cell_angle_beta 90.00
_cell_angle_gamma 90.00
_symmetry_space_group_name_H-M 'F m -3 m'
_symmetry_Int_Tables_number 225
_symmetry_space_group_name_Hall '-F 4 2 3'
loop_
_atom_site_label
_atom_site_type_symbol
_atom_site_fract_x
_atom_site_fract_y
_atom_site_fract_z
Tc1 Tc 0.0000 0.0000 0.0000
Pd1 Pd 0.2500 0.2500 0.2500
W1 W 0.0000 0.0000 0.5000
# * relative energy among the computed polymorphs: 0.000 eV per atom
# * ΔH_f (0 K): 2.1 eV/f.u.



5.
# LiY2As, optimized geometry, DFT PBE
data_LiY2As
_cell_length_a 6.8169
_cell_length_b 6.8287
_cell_length_c 3.8737
_cell_angle_alpha 90.00
_cell_angle_beta 90.00
_cell_angle_gamma 90.00
_symmetry_space_group_name_H-M 'C m m m'
_symmetry_Int_Tables_number 65
_symmetry_space_group_name_Hall '-C 2 2'
loop_
_atom_site_label
_atom_site_type_symbol
_atom_site_fract_x
_atom_site_fract_y
_atom_site_fract_z
Li1 Li 0.0000 0.0000 0.0000
Y1 Y 0.2500 0.2500 0.5000
As1 As 0.0000 0.5000 0.0000
# * ΔH_f (0 K): -2.4 eV/f.u.



6.
# Ca6Sn3Au, optimized geometry, DFT PBE
data_Ca6Sn3Au
_cell_length_a 9.2626
_cell_length_b 12.2441
_cell_length_c 5.3731
_cell_angle_alpha 90.00
_cell_angle_beta 90.00
_cell_angle_gamma 90.00
_symmetry_space_group_name_H-M 'P n n m'
_symmetry_Int_Tables_number 58
loop_
_symmetry_equiv_pos_as_xyz
'x,y,z'
'-x,-y,-z'
'-x,-y,z'
'x,y,-z'
'x+1/2,-y+1/2,-z+1/2'
'-x+1/2,y+1/2,z+1/2'
'-x+1/2,y+1/2,-z+1/2'
'x+1/2,-y+1/2,z+1/2'
loop_
_atom_site_label
_atom_site_type_symbol
_atom_site_fract_x
_atom_site_fract_y
_atom_site_fract_z
Ca1 Ca 0.0132 0.2446 0.0000
Ca2 Ca 0.1628 0.9127 0.5000
Ca3 Ca 0.1640 0.5813 0.5000
Sn1 Sn 0.0000 0.5000 0.0000
Sn2 Sn 0.1833 0.2081 0.5000
Au1 Au 0.0000 0.0000 0.0000
# * ΔH_f (0 K): -5.9 eV/f.u.



7.
# Ba3ZnSn, optimized geometry, DFT PBE
data_Ba3ZnSn
_cell_length_a 6.1773
_cell_length_b 6.1773
_cell_length_c 6.1773
_cell_angle_alpha 90.00
_cell_angle_beta 90.00
_cell_angle_gamma 90.00
_symmetry_space_group_name_H-M 'P m -3 m'
_symmetry_Int_Tables_number 221
_symmetry_space_group_name_Hall '-P 4 2 3'
loop_
_atom_site_label
_atom_site_type_symbol
_atom_site_fract_x
_atom_site_fract_y
_atom_site_fract_z
Ba1 Ba 0.0000 0.0000 0.5000
Zn1 Zn 0.0000 0.0000 0.0000
Sn1 Sn 0.5000 0.5000 0.5000
# * relative energy among the computed polymorphs: 0.289 eV per atom
# * ΔH_f (0 K): -0.1 eV/f.u.



Sequential total magnetic moment output: 0.000, 0.000, 0.000, 0.664, 0.000, 0.000, 0.000 μB/f.u.